The following is a PBE+U calculation of a geometry-optimized Cs2NdFe2O6 structure, from Alexandria.

Geometry as POSCAR:
```
Cs2NdFe2O6
1.0
6.338 0.000 0.000
3.169 5.489 0.000
3.169 1.830 6.145
Cs Nd Fe O
2 1 2 6
Direct
0.779 0.779 0.662
0.221 0.221 0.338
0.000 0.000 0.000
0.424 0.424 0.727
0.576 0.576 0.273
0.749 0.749 0.234
0.268 0.749 0.234
0.749 0.268 0.234
0.251 0.732 0.766
0.732 0.251 0.766
0.251 0.251 0.766
```

Output
The value obtained for the calculated total energy is -65.40 eV/cell. The density of states at the Fermi level comes out at 7.28 states/eV/f.u. Its space group is No. 166. The mass density comes out at 4.80 g cm⁻³.